Co2PtBr | GGA-PBE | optimized geometry

Output
V = 64.5 Å³/f.u.
E_tot = -5.05 eV per atom
magnetic moment = 0.978 μB/atom
energy above the lowest structure with this stoichiometry = 136 meV per atom
ΔE_f (raw) = 436 meV per atom

Cell lengths 2.8415, 2.8415, 27.6643 Å; angles 90.00, 90.00, 120.00 degrees
Space group R3m (No. 160, hexagonal axes)
Asymmetric unit:
1 Co 0.0000 0.0000 0.0000
2 Co 0.0000 0.0000 0.2684
3 Pt 0.0000 0.0000 0.5274
4 Br 0.0000 0.0000 0.7382

---

NiHPt | GGA-PBE | optimized geometry

Output
V = 32.3 Å³/f.u.
E_tot = -4.86 eV per atom
magnetic moment = 0.291 μB/atom
energy above the lowest structure with this stoichiometry = 243 meV per atom

Cell lengths 3.0866, 3.0866, 3.9164 Å; angles 90.00, 90.00, 120.00 degrees
Space group P3m1 (No. 156)
Asymmetric unit:
1 Ni 0.0000 0.0000 0.0000
2 H 0.3333 0.6667 0.5020
3 Pt 0.6667 0.3333 0.4999

---

no.,density (Mg/m³)
1,10.12
2,13.09